1.
Below is a relaxed structure of PrEuMgSc, with properties calculated at the GGA-PBE level.

Lattice parameters (Å, degrees): 5.5733 5.5733 5.5733 60.00 60.00 60.00
Last column: magnetic moment on the atom in μB.
Sites, in units of the cell vectors:
Eu 0.7500 0.7500 0.7500  6.82
Pr 0.2500 0.2500 0.2500  -0.01
Mg 0.0000 0.0000 0.0000  0.00
Sc 0.5000 0.5000 0.5000  0.01

Summary:
Raw total energy (eV per atom): -5.68

2.
Below is a relaxed structure of TlHg3, with properties calculated at the GGA-PBE level.

Lattice parameters (Å, degrees): 6.0479 6.0479 6.0479 90.00 90.00 90.00
Sites, in units of the cell vectors:
Tl 0.0000 0.0000 0.0000
Hg 0.5000 0.0000 0.0000
Hg 0.0000 0.5000 0.0000
Hg 0.0000 0.0000 0.5000

Summary:
Raw total energy (eV per atom): -0.68

| no. | volume (Å³ per cell) | energy relative to the elements (eV/f.u.) |
| --- | --- | --- |
| 1 | 122.4 | 0.28 |
| 2 | 221.2 | 0.54 |